Here is an optimized crystal structure of Ca5Al from Alexandria. Energies are from PBEsol.

Cell lengths 3.9810, 6.9443, 8.8340 Å; angles 109.50, 90.00, 106.66 degrees
Closest atoms and distances in Å follow each position.
Sites, in units of the cell vectors:
Ca1 0.0281 0.0563 0.5585  10 Ca 3.67-3.98
Ca2 0.6897 0.3793 0.3452  2 Al 3.38, 2 Ca 3.66-3.72
Al1 0.0270 0.0539 0.0522  8 Ca 3.20-3.38
Ca3 0.3641 0.7282 0.7643  2 Al 3.36, 1 Ca 3.68
Ca4 0.6661 0.3322 0.9201  2 Al 3.20
Ca5 0.3917 0.7833 0.1932  2 Al 3.21

The value obtained for the volume is 36.6 A^3/atom. For the density of states at the Fermi level, the calculation gives 5.77 states/eV/cell. The total magnetic moment comes out at 0.00 μB/f.u. The calculation puts the density at 1.7 g/cm³. Its formation energy is -0.2 eV/f.u.